VASP calculation (GGA-PBE) on crystalline La4Pm5Tl at its relaxed geometry.

Cell and atoms, written as CIF:
```
data_La4Pm5Tl
_symmetry_space_group_name_H-M 'P 4/m m m'
_symmetry_Int_Tables_number 123
_symmetry_space_group_name_Hall '-P 4 2'
_cell_length_a 4.288
_cell_length_b 4.288
_cell_length_c 18.462
_cell_angle_alpha 90.00
_cell_angle_beta 90.00
_cell_angle_gamma 90.00
loop_
_atom_site_label
_atom_site_type_symbol
_atom_site_fract_x
_atom_site_fract_y
_atom_site_fract_z
La1 La 0.000 0.000 0.105
La2 La 0.000 0.000 0.303
Pm1 Pm 0.500 0.500 0.000
Pm2 Pm 0.500 0.500 0.211
Pm3 Pm 0.500 0.500 0.413
Tl1 Tl 0.000 0.000 0.500
```

E_form: 7 meV/atom
Energy above the most stable polymorph in this dataset: 0.00 eV per formula unit
Density of states at the Fermi level: 1.647 states/eV/atom
E: -45.76 eV per formula unit
V: 339.5 Å³/f.u.
M_tot: 0.0 μB per cell

VASP calculation (GGA-PBE) on crystalline La5PmTl3 at its relaxed geometry.

Cell and atoms, written as CIF:
```
data_La5PmTl3
_symmetry_space_group_name_H-M 'P 63/m c m'
_symmetry_Int_Tables_number 193
_symmetry_space_group_name_Hall '-P 6c 2'
_cell_length_a 9.7702
_cell_length_b 9.7702
_cell_length_c 7.0693
_cell_angle_alpha 90.00
_cell_angle_beta 90.00
_cell_angle_gamma 120.00
loop_
_atom_site_label
_atom_site_type_symbol
_atom_site_fract_x
_atom_site_fract_y
_atom_site_fract_z
La1 La 0.0000 0.3384 0.2500
La2 La 0.3333 0.6667 0.0000
Pm1 Pm 0.0000 0.0000 0.0000
Tl1 Tl 0.0000 0.3259 0.7500
```

E_form: -293 meV/atom
Density of states at the Fermi level: 1.394 states/eV/atom
E: -39.12 eV per formula unit
V: 292.2 Å³/f.u.
M_tot: 1.4 μB per cell

VASP calculation (GGA-PBE) on crystalline LaPm6Tl4 at its relaxed geometry.

Cell and atoms, written as CIF:
```
data_LaPm6Tl4
_symmetry_space_group_name_H-M 'P -6 m 2'
_symmetry_Int_Tables_number 187
_symmetry_space_group_name_Hall 'P -6 2'
_cell_length_a 10.4072
_cell_length_b 10.4072
_cell_length_c 3.8222
_cell_angle_alpha 90.00
_cell_angle_beta 90.00
_cell_angle_gamma 120.00
loop_
_atom_site_label
_atom_site_type_symbol
_atom_site_fract_x
_atom_site_fract_y
_atom_site_fract_z
La1 La 0.0000 0.0000 0.0000
Pm1 Pm 0.1924 0.3848 0.5000
Pm2 Pm 0.5409 0.0818 0.0000
Tl1 Tl 0.3231 0.1616 0.5000
Tl2 Tl 0.3333 0.6667 0.0000
```

E_form: -243 meV/atom
Density of states at the Fermi level: 0.980 states/eV/atom
E: -45.57 eV per formula unit
V: 358.5 Å³/f.u.
M_tot: 2.0 μB per cell

VASP calculation (GGA-PBE) on crystalline La5Pm2Tl2 at its relaxed geometry.

Cell and atoms, written as CIF:
```
data_La5Pm2Tl2
_symmetry_space_group_name_H-M 'C m c e'
_symmetry_Int_Tables_number 64
_symmetry_space_group_name_Hall '-C 2ac 2'
_cell_length_a 17.095
_cell_length_b 8.707
_cell_length_c 8.652
_cell_angle_alpha 90.00
_cell_angle_beta 90.00
_cell_angle_gamma 90.00
loop_
_atom_site_label
_atom_site_type_symbol
_atom_site_fract_x
_atom_site_fract_y
_atom_site_fract_z
La1 La 0.000 0.000 0.000
La2 La 0.147 0.169 0.337
Pm1 Pm 0.000 0.132 0.636
Tl1 Tl 0.198 0.000 0.000
```

E_form: -51 meV/atom
Density of states at the Fermi level: 1.117 states/eV/atom
E: -39.33 eV per formula unit
V: 321.9 Å³/f.u.
M_tot: 0.0 μB per cell

VASP calculation (GGA-PBE) on crystalline LaPm4Tl4 at its relaxed geometry.

Cell and atoms, written as CIF:
```
data_LaPm4Tl4
_symmetry_space_group_name_H-M 'P 42/n'
_symmetry_Int_Tables_number 86
_cell_length_a 9.426
_cell_length_b 9.426
_cell_length_c 6.250
_cell_angle_alpha 90.00
_cell_angle_beta 90.00
_cell_angle_gamma 90.00
loop_
_symmetry_equiv_pos_as_xyz
'x,y,z'
'-x,-y,-z'
'-y,x+1/2,z+1/2'
'y,-x+1/2,-z+1/2'
'-x+1/2,-y+1/2,z'
'x+1/2,y+1/2,-z'
'y+1/2,-x,z+1/2'
'-y+1/2,x,-z+1/2'
loop_
_atom_site_label
_atom_site_type_symbol
_atom_site_fract_x
_atom_site_fract_y
_atom_site_fract_z
La1 La 0.250 0.250 0.250
Pm1 Pm 0.085 0.826 0.629
Tl1 Tl 0.037 0.145 0.856
```

E_form: -199 meV/atom
Density of states at the Fermi level: 0.881 states/eV/atom
E: -35.19 eV per formula unit
V: 277.7 Å³/f.u.
M_tot: 0.0 μB per cell

VASP calculation (GGA-PBE) on crystalline La12Pm3Tl at its relaxed geometry.

Cell and atoms, written as CIF:
```
data_La12Pm3Tl
_symmetry_space_group_name_H-M 'P 4/m m m'
_symmetry_Int_Tables_number 123
_symmetry_space_group_name_Hall '-P 4 2'
_cell_length_a 5.179
_cell_length_b 5.179
_cell_length_c 21.001
_cell_angle_alpha 90.00
_cell_angle_beta 90.00
_cell_angle_gamma 90.00
loop_
_atom_site_label
_atom_site_type_symbol
_atom_site_fract_x
_atom_site_fract_y
_atom_site_fract_z
La1 La 0.000 0.000 0.000
La2 La 0.000 0.000 0.248
La3 La 0.000 0.000 0.500
La4 La 0.000 0.500 0.121
La5 La 0.000 0.500 0.373
Pm1 Pm 0.500 0.500 0.247
Pm2 Pm 0.500 0.500 0.500
Tl1 Tl 0.500 0.500 0.000
```

E_form: -46 meV/atom
Density of states at the Fermi level: 1.474 states/eV/atom
E: -76.48 eV per formula unit
V: 563.3 Å³/f.u.
M_tot: 0.0 μB per cell

VASP calculation (GGA-PBE) on crystalline LaPm3Tl2 at its relaxed geometry.

Cell and atoms, written as CIF:
```
data_LaPm3Tl2
_symmetry_space_group_name_H-M 'C 1 2/m 1'
_symmetry_Int_Tables_number 12
_cell_length_a 16.939
_cell_length_b 5.518
_cell_length_c 9.472
_cell_angle_alpha 90.00
_cell_angle_beta 119.03
_cell_angle_gamma 90.00
loop_
_symmetry_equiv_pos_as_xyz
'x,y,z'
'-x,-y,-z'
'-x,y,-z'
'x,-y,z'
'x+1/2,y+1/2,z'
'-x+1/2,-y+1/2,-z'
'-x+1/2,y+1/2,-z'
'x+1/2,-y+1/2,z'
loop_
_atom_site_label
_atom_site_type_symbol
_atom_site_fract_x
_atom_site_fract_y
_atom_site_fract_z
La1 La 0.130 0.000 0.174
Pm1 Pm 0.060 0.000 0.714
Pm2 Pm 0.118 0.500 0.543
Pm3 Pm 0.195 0.500 0.999
Tl1 Tl 0.016 0.500 0.170
Tl2 Tl 0.225 0.000 0.593
```

E_form: -198 meV/atom
Energy above the most stable polymorph in this dataset: 0.48 eV per formula unit
Density of states at the Fermi level: 1.142 states/eV/atom
E: -25.10 eV per formula unit
V: 193.5 Å³/f.u.
M_tot: 0.0 μB per cell

VASP calculation (GGA-PBE) on crystalline La4PmTl5 at its relaxed geometry.

Cell and atoms, written as CIF:
```
data_La4PmTl5
_symmetry_space_group_name_H-M 'P 4/m m m'
_symmetry_Int_Tables_number 123
_symmetry_space_group_name_Hall '-P 4 2'
_cell_length_a 3.932
_cell_length_b 3.932
_cell_length_c 20.140
_cell_angle_alpha 90.00
_cell_angle_beta 90.00
_cell_angle_gamma 90.00
loop_
_atom_site_label
_atom_site_type_symbol
_atom_site_fract_x
_atom_site_fract_y
_atom_site_fract_z
La1 La 0.000 0.000 0.101
La2 La 0.000 0.000 0.304
Pm1 Pm 0.000 0.000 0.500
Tl1 Tl 0.500 0.500 0.000
Tl2 Tl 0.500 0.500 0.203
Tl3 Tl 0.500 0.500 0.406
```

E_form: -417 meV/atom
Density of states at the Fermi level: 1.075 states/eV/atom
E: -40.47 eV per formula unit
V: 311.3 Å³/f.u.
M_tot: 0.0 μB per cell